# 1
VASP calculation (PBE-GGA) on a relaxed AlI3Cl6 crystal.

Cell lengths 7.8953, 14.8973, 15.2501 Å; angles 102.38, 90.00, 105.37 degrees
Fractional positions:
Cl1 0.3924 0.8747 0.6250
I1 0.7248 0.9115 0.8810
Al1 0.3170 0.7431 0.5283
Cl2 0.9726 0.3156 0.4739
Cl3 0.0831 0.4925 0.2090
Cl4 0.5177 0.1253 0.8750
I2 0.0310 0.4051 0.3245
Cl5 0.4823 0.8747 0.1250
Cl6 0.4076 0.7700 0.8917
Cl7 0.6076 0.1253 0.3750
I3 0.8508 0.7563 0.7757
I4 0.0945 0.2437 0.7243
I5 0.3741 0.4051 0.8245
Cl8 0.3623 0.7700 0.3917
I6 0.6259 0.5949 0.1755
Cl9 0.0545 0.0375 0.3799
Cl10 0.8039 0.3627 0.9561
Cl11 0.3430 0.3156 0.9739
Cl12 0.9830 0.0375 0.8799
I7 0.9055 0.7563 0.2757
Cl13 0.5924 0.2300 0.1083
Cl14 0.5588 0.3627 0.4561
Cl15 0.9169 0.5075 0.7910
Cl16 0.4093 0.4925 0.7090
I8 0.1868 0.9115 0.3810
I9 0.9690 0.5949 0.6755
Cl17 0.1961 0.6373 0.0439
Cl18 0.9455 0.9625 0.6201
Cl19 0.0170 0.9625 0.1201
Cl20 0.4412 0.6373 0.5439
I10 0.2752 0.0885 0.1190
Al2 0.5738 0.2569 0.9717
Al3 0.4262 0.7431 0.0283
Cl21 0.5907 0.5075 0.2910
I11 0.8132 0.0885 0.6190
Cl22 0.6570 0.6844 0.0261
Cl23 0.0274 0.6844 0.5261
Cl24 0.6377 0.2300 0.6083
I12 0.1492 0.2437 0.2243
Al4 0.6830 0.2569 0.4717

Properties
Calculated total energy, eV per cell: -106.2
Formation energy from raw total energies, eV/atom: -0.71
V, Å³/f.u.: 421.6



# 2
VASP calculation (PBE-GGA) on a relaxed YPOs2 crystal.

Cell lengths 9.1729, 9.1729, 9.1729 Å; angles 18.38, 18.38, 18.38 degrees
Fractional positions:
P1 0.5143 0.5143 0.5143
Os1 0.2426 0.2426 0.2426
Y1 0.7531 0.7531 0.7531
Os2 0.9900 0.9900 0.9900

Properties
Calculated total energy, eV per cell: -33.1
ΔH_f (0 K), eV/atom: 0.315
V, Å³/f.u.: 67.1



# 3
VASP calculation (PBE-GGA) on a relaxed LiCaPr2 crystal.

Cell lengths 3.6523, 3.6523, 11.9196 Å; angles 81.19, 81.19, 60.00 degrees
Fractional positions:
Pr1 0.2561 0.2561 0.2317
Ca1 0.4998 0.4998 0.5006
Pr2 0.0773 0.0773 0.7682
Li1 0.6668 0.6668 0.9995

Properties
Calculated total energy, eV per cell: -13.0
ΔH_f (0 K), eV/atom: 0.118
V, Å³/f.u.: 135.5



# 4
VASP calculation (PBE-GGA) on a relaxed TmNbP2 crystal.

Cell lengths 3.7172, 3.7172, 6.5720 Å; angles 73.57, 73.57, 60.00 degrees
Fractional positions:
Tm1 0.5000 0.5000 0.5000
P1 0.2566 0.2566 0.2303
P2 0.7434 0.7434 0.7697
Nb1 0.0000 0.0000 0.0000

Properties
Calculated total energy, eV per cell: -29.8
ΔH_f (0 K), eV/atom: -1.119
V, Å³/f.u.: 74.3



# 5
VASP calculation (PBE-GGA) on a relaxed LaBe2Tl crystal.

Cell lengths 4.0122, 4.1732, 5.3314 Å; angles 67.17, 90.00, 90.00 degrees
Fractional positions:
Be1 0.5000 0.1021 0.1729
La1 0.0000 0.4720 0.4331
Tl1 0.5000 0.7603 0.8543
Be2 0.0000 0.1656 0.0397

Properties
Calculated total energy, eV per cell: -14.3
ΔH_f (0 K), eV/atom: 0.105
V, Å³/f.u.: 82.3



# 6
VASP calculation (PBE-GGA) on a relaxed AlFe2Ru crystal.

Cell lengths 4.7729, 4.8956, 2.6391 Å; angles 79.71, 79.26, 115.93 degrees
Last column: magnetic moment on the atom in μB.
Fractional positions:
Fe1 0.0000 0.0000 0.0000  2.48
Al1 0.5000 0.5000 0.0000  -0.04
Fe2 0.5000 0.0000 0.5000  2.48
Ru1 0.0000 0.5000 0.5000  0.59

Properties
Calculated total energy, eV per cell: -30.2
ΔH_f (0 K), eV/atom: -0.075
V, Å³/f.u.: 52.1



# 7
VASP calculation (PBE-GGA) on a relaxed CaCd2W crystal.

Cell lengths 3.1155, 5.1567, 5.1567 Å; angles 90.00, 90.00, 90.00 degrees
Fractional positions:
Ca1 0.5000 0.0000 0.5000
W1 0.5000 0.5000 0.0000
Cd1 0.0000 0.0000 0.0000
Cd2 0.0000 0.5000 0.5000

Properties
Calculated total energy, eV per cell: -14.7
ΔH_f (0 K), eV/atom: 0.511
V, Å³/f.u.: 82.8



# 8
VASP calculation (PBE-GGA) on a relaxed Th2InSiRh6 crystal.

Cell lengths 6.5844, 6.5844, 6.5844 Å; angles 60.00, 60.00, 90.00 degrees
Fractional positions:
Rh1 0.2353 0.2353 0.5295
Rh2 0.2353 0.7647 0.0000
In1 0.5000 0.5000 0.0000
Rh3 0.7647 0.7647 0.0000
Rh4 0.7647 0.7647 0.4705
Si1 0.0000 0.0000 0.0000
Rh5 0.7647 0.2353 0.0000
Rh6 0.2353 0.2353 0.0000
Th1 0.2500 0.7500 0.5000
Th2 0.7500 0.2500 0.5000

Properties
Calculated total energy, eV per cell: -70.3
Formation energy from raw total energies, eV/atom: -0.32
V, Å³/f.u.: 201.9